Entry 1:
Density functional theory data (PBE) for crystalline NdAlSiPt6 at its relaxed geometry.

Cell: 7.1869 8.7334 7.9697 Å, 123.22 116.80 90.00°
Last column: nearest neighbours and their distance in Å.
Fractional positions:
1 Nd 0.8394 0.5894 0.6787  6 Pt 2.85-2.99
2 Nd 0.1606 0.4106 0.3213  6 Pt 2.85-2.99
3 Al 0.5000 0.0000 0.5000  6 Pt 2.42-2.51
4 Al 0.0000 0.0000 0.5000  6 Pt 2.42-2.51
5 Si 0.5000 0.5000 0.0000  6 Pt 2.32-2.38
6 Si 0.5000 0.0000 0.0000  6 Pt 2.32-2.38
7 Pt 0.4148 0.6648 0.8297  2 Si 2.38
8 Pt 0.8944 0.1444 0.7888  2 Al 2.42
9 Pt 0.8821 0.1134 0.2507  1 Si 2.32, 1 Al 2.51
10 Pt 0.3687 0.6374 0.2507  1 Si 2.32, 1 Al 2.51
11 Pt 0.3687 0.1134 0.2507  1 Si 2.32, 1 Al 2.51
12 Pt 0.8821 0.6374 0.2507  1 Si 2.32, 1 Al 2.51
13 Pt 0.5852 0.3352 0.1703  2 Si 2.38
14 Pt 0.1056 0.8556 0.2112  2 Al 2.42
15 Pt 0.1179 0.8866 0.7493  1 Si 2.32, 1 Al 2.51
16 Pt 0.6313 0.3626 0.7493  1 Si 2.32, 1 Al 2.51
17 Pt 0.6313 0.8866 0.7493  1 Si 2.32, 1 Al 2.51
18 Pt 0.1179 0.3626 0.7493  1 Si 2.32, 1 Al 2.51

Uncorrected formation energy = -591 meV per atom
Symmetry = Imma, No. 74


Entry 2:
Density functional theory data (PBE) for crystalline TlNi4Pd at its relaxed geometry.

Cell: 4.8545 4.8545 4.8545 Å, 60.00 60.00 60.00°
Last column: nearest neighbours and their distance in Å.
Fractional positions:
1 Ni 0.6255 0.6255 0.1235  6 Ni 2.42-2.44
2 Ni 0.6255 0.1235 0.6255  6 Ni 2.42-2.44
3 Ni 0.6255 0.6255 0.6255  6 Ni 2.42-2.44
4 Ni 0.1235 0.6255 0.6255  6 Ni 2.42-2.44
5 Tl 0.2500 0.2500 0.2500  12 Ni 2.85, 4 Pd 2.97
6 Pd 0.0000 0.0000 0.0000  12 Ni 2.85, 4 Tl 2.97

Energy relative to the elements = 115 meV/atom
Symmetry = F-43m, No. 216


Entry 3:
Density functional theory data (PBE) for crystalline Th4FeOsSe2 at its relaxed geometry.

Cell: 4.0581 7.0520 7.7065 Å, 107.87 90.00 90.00°
Last column: nearest neighbours and their distance in Å.
Fractional positions:
1 Th 0.5000 0.2423 0.2127  1 Fe 2.80, 2 Os 2.83
2 Th 0.5000 0.7577 0.7873  1 Fe 2.80, 2 Os 2.83
3 Th 0.0000 0.2715 0.7924  2 Fe 2.77, 1 Os 2.85
4 Th 0.0000 0.7285 0.2076  2 Fe 2.77, 1 Os 2.85
5 Fe 0.5000 0.5000 0.0000  6 Th 2.77-2.80
6 Os 0.0000 0.0000 0.0000  6 Th 2.83-2.85
7 Se 0.5000 0.0000 0.5000  6 Th 3.19-3.20
8 Se 0.0000 0.5000 0.5000  6 Th 3.14-3.15

Uncorrected formation energy = -898 meV per atom
Symmetry = P2/m, No. 10


Entry 4:
Density functional theory data (PBE) for crystalline Ac2DyCu9 at its relaxed geometry.

Cell: 5.2527 5.2527 9.4010 Å, 73.78 73.78 60.00°
Last column: nearest neighbours and their distance in Å.
Fractional positions:
1 Ac 0.8646 0.8646 0.4063  9 Cu 3.08-3.15
2 Ac 0.1354 0.1354 0.5937  9 Cu 3.08-3.15
3 Dy 0.0000 0.0000 0.0000  18 Cu 3.03-3.31
4 Cu 0.6676 0.6676 0.9970  6 Cu 2.50-2.53
5 Cu 0.3324 0.3324 0.0030  6 Cu 2.50-2.53
6 Cu 0.5000 0.5000 0.5000  6 Cu 2.87, 6 Ac 3.15
7 Cu 0.4266 0.4266 0.2255  6 Cu 2.50-2.65
8 Cu 0.9214 0.4266 0.2255  6 Cu 2.50-2.65
9 Cu 0.4266 0.9214 0.2255  6 Cu 2.50-2.65
10 Cu 0.5734 0.5734 0.7745  6 Cu 2.50-2.65
11 Cu 0.5734 0.0786 0.7745  6 Cu 2.50-2.65
12 Cu 0.0786 0.5734 0.7745  6 Cu 2.50-2.65

Energy relative to the elements = -80 meV/atom
Symmetry = R-3m, No. 166


Entry 5:
Density functional theory data (PBE) for crystalline NdSiS3 at its relaxed geometry.

Cell: 6.3378 7.7427 8.7890 Å, 90.00 90.00 90.00°
Last column: nearest neighbours and their distance in Å.
Fractional positions:
1 Nd 0.0350 0.1108 0.7237  8 S 2.93-3.10
2 Nd 0.4650 0.6108 0.7237  8 S 2.93-3.10
3 Nd 0.5350 0.3892 0.2237  8 S 2.93-3.10
4 Nd 0.9650 0.8892 0.2237  8 S 2.93-3.10
5 Si 0.4729 0.9292 0.9950  4 S 2.18-2.41
6 Si 0.5271 0.0708 0.4950  4 S 2.18-2.41
7 Si 0.0271 0.4292 0.9950  4 S 2.18-2.41
8 Si 0.9729 0.5708 0.4950  4 S 2.18-2.41
9 S 0.8336 0.1703 0.4252  1 Si 2.18
10 S 0.8432 0.1918 0.0290  1 Si 2.20
11 S 0.1664 0.8297 0.9252  1 Si 2.18
12 S 0.1568 0.8082 0.5290  1 Si 2.20
13 S 0.3432 0.3082 0.5290  1 Si 2.20
14 S 0.5926 0.9746 0.7379  2 Si 2.30-2.41
15 S 0.6568 0.6918 0.0290  1 Si 2.20
16 S 0.9074 0.4746 0.7379  2 Si 2.30-2.41
17 S 0.6664 0.6703 0.4252  1 Si 2.18
18 S 0.3336 0.3297 0.9252  1 Si 2.18
19 S 0.0926 0.5254 0.2379  2 Si 2.30-2.41
20 S 0.4074 0.0254 0.2379  2 Si 2.30-2.41

Uncorrected formation energy = -1159 meV per atom
ΔE to the lowest computed polymorph = 0.184 eV/atom
Symmetry = Pna2_1, No. 33


Entry 6:
Density functional theory data (PBE) for crystalline TcSO3 at its relaxed geometry.

Cell: 3.7884 3.7884 3.7884 Å, 90.00 90.00 90.00°
Last column: nearest neighbours and their distance in Å.
Fractional positions:
1 S 0.0000 0.0000 0.0000  6 O 1.89
2 Tc 0.5000 0.5000 0.5000  12 O 2.68
3 O 0.0000 0.5000 0.0000  2 S 1.89
4 O 0.0000 0.0000 0.5000  2 S 1.89
5 O 0.5000 0.0000 0.0000  2 S 1.89

Uncorrected formation energy = 335 meV per atom
Symmetry = Pm-3m, No. 221